First-principles (PBE) data for a relaxed structure of PrThGeH, as listed in Alexandria.

Values from the calculation:
ρ: 8.468 g/cm³
electronic total energy: -5.599 eV/atom

Cell: 4.424 4.424 8.947 Å, 90.00 90.00 90.00°
Fractional positions:
Pr 0.250 0.250 0.125
Pr 0.750 0.750 0.875
Th 0.250 0.750 0.500
Th 0.750 0.250 0.500
Ge 0.250 0.250 0.747
Ge 0.750 0.750 0.253
H 0.250 0.750 0.000
H 0.750 0.250 0.000


First-principles (PBE) data for a relaxed structure of Li2BPd5, as listed in Alexandria.

Values from the calculation:
ρ: 8.751 g/cm³
DFT formation energy: -321 meV/atom
energy above the most stable polymorph in this dataset: 0 meV/atom

Cell: 6.446 9.291 3.528 Å, 90.00 90.00 90.00°
Fractional positions:
Li 0.077 0.172 0.000
Li 0.423 0.672 0.000
Li 0.577 0.328 0.000
Li 0.923 0.828 0.000
B 0.000 0.500 0.500
B 0.500 0.000 0.500
Pd 0.000 0.000 0.500
Pd 0.142 0.699 0.500
Pd 0.182 0.430 0.000
Pd 0.318 0.930 0.000
Pd 0.358 0.199 0.500
Pd 0.500 0.500 0.500
Pd 0.642 0.801 0.500
Pd 0.682 0.070 0.000
Pd 0.818 0.570 0.000
Pd 0.858 0.301 0.500


First-principles (PBE) data for a relaxed structure of InHN2, as listed in Alexandria.

Values from the calculation:
ρ: 6.052 g/cm³
energy above the most stable polymorph in this dataset: 974 meV/atom

Cell: 5.404 5.404 5.404 Å, 90.00 90.00 90.00°
Fractional positions:
In 0.000 0.000 0.000
In 0.000 0.500 0.500
In 0.500 0.000 0.500
In 0.500 0.500 0.000
H 0.000 0.000 0.500
H 0.000 0.500 0.000
H 0.500 0.000 0.000
H 0.500 0.500 0.500
N 0.250 0.250 0.250
N 0.250 0.250 0.750
N 0.250 0.750 0.250
N 0.250 0.750 0.750
N 0.750 0.250 0.250
N 0.750 0.250 0.750
N 0.750 0.750 0.250
N 0.750 0.750 0.750


First-principles (PBE) data for a relaxed structure of P2H7Br2, as listed in Alexandria.

Values from the calculation:
ρ: 2.492 g/cm³
electronic total energy: -3.446 eV/atom

Cell: 5.989 5.989 4.372 Å, 97.95 97.95 96.50°
Fractional positions:
P 0.196 0.196 0.425
P 0.804 0.804 0.575
H 0.000 0.000 0.500
H 0.150 0.396 0.612
H 0.284 0.284 0.177
H 0.396 0.150 0.612
H 0.604 0.850 0.388
H 0.716 0.716 0.823
H 0.850 0.604 0.388
Br 0.232 0.768 0.000
Br 0.768 0.232 0.000


First-principles (PBE) data for a relaxed structure of TcMo2Cl, as listed in Alexandria.

Values from the calculation:
ρ: 8.936 g/cm³
formation energy from raw total energies: 0.242 eV/atom
energy above the most stable polymorph in this dataset: 0 meV/atom

Cell: 2.932 2.932 7.032 Å, 90.00 90.00 90.00°
Fractional positions:
Tc 0.000 0.000 0.000
Mo 0.500 0.500 0.247
Mo 0.500 0.500 0.753
Cl 0.000 0.000 0.500


First-principles (PBE) data for a relaxed structure of NpGe2Pt, as listed in Alexandria.

Values from the calculation:
ρ: 12.743 g/cm³
DFT formation energy: -298 meV/atom

Cell: 4.231 4.231 4.203 Å, 90.00 90.00 90.00°
Fractional positions:
Np 0.000 0.000 0.000
Ge 0.000 0.500 0.500
Ge 0.500 0.000 0.500
Pt 0.500 0.500 0.000


First-principles (PBE) data for a relaxed structure of Cs2K12RbHg3, as listed in Alexandria.

Values from the calculation:
ρ: 1.783 g/cm³
DFT formation energy: -27 meV/atom

Cell: 11.950 11.950 11.950 Å, 64.45 64.45 64.45°
Fractional positions:
Cs 0.083 0.083 0.083
Cs 0.917 0.917 0.917
K 0.040 0.658 0.658
K 0.230 0.230 0.616
K 0.230 0.616 0.230
K 0.342 0.342 0.960
K 0.342 0.960 0.342
K 0.384 0.770 0.770
K 0.616 0.230 0.230
K 0.658 0.040 0.658
K 0.658 0.658 0.040
K 0.770 0.384 0.770
K 0.770 0.770 0.384
K 0.960 0.342 0.342
Rb 0.500 0.500 0.500
Hg 0.000 0.500 0.500
Hg 0.500 0.000 0.500
Hg 0.500 0.500 0.000


First-principles (PBE) data for a relaxed structure of ZrBe3, as listed in Alexandria.

Values from the calculation:
ρ: 3.911 g/cm³
DFT formation energy: 298 meV/atom
energy above the most stable polymorph in this dataset: 479 meV/atom

Cell: 2.555 4.472 8.791 Å, 90.00 90.00 90.00°
Fractional positions:
Zr 0.000 0.000 0.000
Zr 0.500 0.500 0.500
Be 0.000 0.000 0.500
Be 0.000 0.500 0.216
Be 0.000 0.500 0.784
Be 0.500 0.000 0.284
Be 0.500 0.000 0.716
Be 0.500 0.500 0.000


First-principles (PBE) data for a relaxed structure of Ca4Y3HoTe8, as listed in Alexandria.

Values from the calculation:
ρ: 5.468 g/cm³
formation energy from raw total energies: -1.463 eV/atom

Cell: 8.915 8.915 8.915 Å, 59.02 59.02 59.02°
Fractional positions:
Ca 0.000 0.000 0.000
Ca 0.000 0.500 0.500
Ca 0.500 0.000 0.500
Ca 0.500 0.500 0.000
Y 0.000 0.000 0.500
Y 0.000 0.500 0.000
Y 0.500 0.000 0.000
Ho 0.500 0.500 0.500
Te 0.249 0.249 0.249
Te 0.250 0.748 0.748
Te 0.252 0.252 0.750
Te 0.252 0.750 0.252
Te 0.748 0.250 0.748
Te 0.748 0.748 0.250
Te 0.750 0.252 0.252
Te 0.751 0.751 0.751


First-principles (PBE) data for a relaxed structure of NdZnAu2, as listed in Alexandria.

Values from the calculation:
ρ: 10.663 g/cm³
DFT formation energy: -509 meV/atom

Cell: 7.111 10.085 5.243 Å, 90.00 90.00 90.00°
Fractional positions:
Nd 0.000 0.191 0.250
Nd 0.000 0.809 0.750
Nd 0.500 0.309 0.750
Nd 0.500 0.691 0.250
Zn 0.000 0.500 0.000
Zn 0.000 0.500 0.500
Zn 0.500 0.000 0.000
Zn 0.500 0.000 0.500
Au 0.198 0.090 0.750
Au 0.198 0.910 0.250
Au 0.302 0.410 0.250
Au 0.302 0.590 0.750
Au 0.698 0.410 0.250
Au 0.698 0.590 0.750
Au 0.802 0.090 0.750
Au 0.802 0.910 0.250


First-principles (PBE) data for a relaxed structure of KInGaAs2, as listed in Alexandria.

Values from the calculation:
ρ: 4.102 g/cm³
DFT formation energy: -164 meV/atom

Cell: 7.656 6.693 6.501 Å, 90.00 114.80 90.00°
Fractional positions:
K 0.000 0.233 0.250
K 0.000 0.767 0.750
In 0.500 0.500 0.250
In 0.500 0.500 0.750
Ga 0.500 0.000 0.000
Ga 0.500 0.000 0.500
As 0.269 0.263 0.886
As 0.269 0.737 0.386
As 0.731 0.263 0.614
As 0.731 0.737 0.114


First-principles (PBE) data for a relaxed structure of Y4Ho5Er2, as listed in Alexandria.

Values from the calculation:
ρ: 7.148 g/cm³
DFT formation energy: 126 meV/atom
energy above the most stable polymorph in this dataset: 0 meV/atom

Cell: 6.594 6.594 9.213 Å, 104.38 104.38 66.96°
Fractional positions:
Y 0.171 0.171 0.123
Y 0.181 0.181 0.501
Y 0.819 0.819 0.499
Y 0.829 0.829 0.877
Ho 0.155 0.710 0.220
Ho 0.290 0.845 0.780
Ho 0.500 0.500 0.500
Ho 0.710 0.155 0.220
Ho 0.845 0.290 0.780
Er 0.354 0.354 0.880
Er 0.646 0.646 0.120